The following is a DFT calculation (PBE-GGA) of crystalline Co5NiPt at its relaxed geometry.

formation energy: 11.3 kJ per mole of atoms

Geometry as extended XYZ:
```
14
Lattice="0.123 3.864 -2.630 0.170 -3.960 -5.811 -5.235 1.578 3.028" Properties=species:S:1:pos:R:3 pbc="T T T"
Co -4.465 0.294 -3.244
Co -1.291 -2.010 -5.546
Co -4.558 -0.909 -0.858
Co -2.421 1.261 -4.018
Co -3.692 1.103 0.776
Co -1.250 0.380 -6.188
Co -2.521 0.222 -1.394
Co -0.384 2.391 -4.554
Co -3.650 3.493 0.134
Co -0.477 1.189 -2.168
Ni 0.000 0.000 0.000
Ni 0.146 -0.048 -4.220
Pt -2.482 2.681 -1.935
Pt -2.460 -1.198 -3.477
```



The following is a DFT calculation (PBE-GGA) of crystalline RbPmAu2 at its relaxed geometry.

formation energy: -40.6 kJ per mole of atoms

Geometry as extended XYZ:
```
4
Lattice="4.342 0.000 0.000 2.171 3.760 0.000 2.171 1.253 8.374" Properties=species:S:1:pos:R:3 pbc="T T T"
Au 6.513 3.760 6.731
Au 2.171 1.253 1.643
Rb 4.342 2.507 4.187
Pm 0.000 0.000 0.000
```



The following is a DFT calculation (PBE-GGA) of crystalline MnAs at its relaxed geometry.

formation energy: 10.2 kJ per mole of atoms

Geometry as extended XYZ:
```
32
Lattice="-3.699 6.103 -3.892 -0.400 -6.007 -9.040 -6.594 -2.676 2.070" Properties=species:S:1:pos:R:3 pbc="T T T"
Mn -0.351 -5.278 -7.942
Mn -0.049 -0.730 -1.098
Mn -2.922 -4.379 -8.334
Mn -2.824 -2.919 -6.137
Mn -3.448 -3.612 -2.387
Mn -3.546 -5.072 -4.583
Mn -6.019 -2.713 -2.779
Mn -5.922 -1.254 -0.582
Mn -5.498 -3.565 -8.853
Mn -5.195 0.983 -2.009
Mn -8.068 -2.666 -9.245
Mn -7.971 -1.206 -7.048
Mn -2.001 0.777 -5.368
Mn -2.098 -0.682 -7.564
Mn -4.571 1.676 -5.760
Mn -4.474 3.136 -3.563
As -0.919 1.517 -0.967
As -2.779 4.586 -2.925
As -1.954 -5.166 -6.268
As -3.792 -2.132 -8.203
As -4.416 -2.825 -4.452
As -6.276 0.244 -6.410
As -5.051 -3.500 -0.713
As -6.890 -0.467 -2.648
As -6.066 3.230 -1.878
As -4.227 0.196 0.056
As -7.100 -3.453 -7.179
As -8.939 -0.419 -9.114
As -2.968 1.564 -7.433
As -1.130 -1.469 -5.499
As -3.603 0.889 -3.694
As -5.442 3.923 -5.629
```



The following is a DFT calculation (PBE-GGA) of crystalline Nd2Ga3Co at its relaxed geometry.

formation energy: -49.2 kJ per mole of atoms

Geometry as extended XYZ:
```
6
Lattice="3.920 0.000 0.000 0.000 4.318 0.000 0.000 0.000 7.594" Properties=species:S:1:pos:R:3 pbc="T T T"
Nd 0.000 2.159 0.165
Nd 0.000 0.000 3.700
Ga 1.960 0.000 6.337
Ga 1.960 0.000 1.333
Ga 1.960 2.159 4.967
Co 1.960 2.159 2.482
```



The following is a DFT calculation (PBE-GGA) of crystalline Ce3SnBi at its relaxed geometry.

formation energy: -38.0 kJ per mole of atoms

Geometry as extended XYZ:
```
20
Lattice="8.841 1.449 -0.199 5.593 6.999 -0.199 3.564 2.086 11.012" Properties=species:S:1:pos:R:3 pbc="T T T"
Ce 14.310 8.106 8.222
Ce 5.705 3.069 7.897
Ce 3.688 2.428 2.391
Ce 12.293 7.464 2.716
Ce 10.928 7.550 6.560
Ce 7.846 5.746 9.558
Ce 7.070 2.983 4.052
Ce 10.152 4.787 1.054
Ce 10.731 8.872 10.121
Ce 6.790 6.565 5.997
Ce 11.208 3.969 4.615
Ce 7.267 1.662 0.492
Sn 4.578 4.542 5.406
Sn 4.421 0.724 -0.100
Sn 9.686 2.049 2.553
Sn 8.312 8.485 8.059
Bi 11.972 5.939 9.298
Bi 8.739 4.047 6.820
Bi 6.026 4.595 1.314
Bi 9.259 6.487 3.793
```



The following is a DFT calculation (PBE-GGA) of crystalline Ta2CuSi at its relaxed geometry.

uncorrected formation energy: 0.22 eV/atom

Geometry as extended XYZ:
```
8
Lattice="6.925 0.000 0.000 0.000 6.925 0.000 3.462 3.462 2.755" Properties=species:S:1:pos:R:3 pbc="T T T"
Si 3.462 3.462 0.000
Si 3.462 6.925 1.378
Cu 0.000 0.000 0.000
Cu 6.925 3.462 1.378
Ta 5.187 1.731 0.689
Ta 1.738 5.193 0.689
Ta 5.193 5.200 2.066
Ta 8.656 8.649 2.066
```



The following is a DFT calculation (PBE-GGA) of crystalline La2InTc at its relaxed geometry.

formation energy: -4.6 kJ per mole of atoms

Geometry as extended XYZ:
```
4
Lattice="6.569 -0.006 0.016 5.607 3.421 0.016 2.034 0.570 4.737" Properties=species:S:1:pos:R:3 pbc="T T T"
In 2.993 0.839 1.452
La 12.118 3.399 0.059
La 11.193 3.139 3.329
Tc 7.189 2.016 2.345
```



The following is a DFT calculation (PBE-GGA) of crystalline TbY2ErSc at its relaxed geometry.

formation energy: 34.4 kJ per mole of atoms

Geometry as extended XYZ:
```
10
Lattice="7.105 0.000 0.000 0.000 8.166 0.000 0.000 -4.083 5.584" Properties=species:S:1:pos:R:3 pbc="T T T"
Tb 1.776 4.083 2.594
Tb 5.329 0.000 2.990
Y 3.552 2.464 0.000
Y 0.000 5.702 0.000
Y 3.552 5.702 0.000
Y 0.000 2.464 0.000
Er 5.329 4.083 2.588
Er 1.776 0.000 2.996
Sc 1.776 4.083 5.571
Sc 5.329 0.000 0.013
```



The following is a DFT calculation (PBE-GGA) of crystalline PaTl3Se4 at its relaxed geometry.

uncorrected formation energy: -0.73 eV/atom

Geometry as extended XYZ:
```
8
Lattice="-3.169 4.635 -2.465 -2.963 0.798 5.309 7.875 1.650 0.605" Properties=species:S:1:pos:R:3 pbc="T T T"
Pa 0.000 0.000 0.000
Tl -3.066 2.716 1.422
Tl 0.820 4.501 -0.219
Tl 0.923 2.582 3.668
Se -0.131 5.381 2.659
Se 1.874 1.702 0.790
Se -1.585 2.317 -1.233
Se -1.481 0.399 2.655
```



The following is a DFT calculation (PBE-GGA) of crystalline Tl3Br at its relaxed geometry.

uncorrected formation energy: -0.17 eV/atom

Geometry as extended XYZ:
```
4
Lattice="5.661 0.000 0.000 2.830 4.902 0.000 2.830 1.634 4.622" Properties=species:S:1:pos:R:3 pbc="T T T"
Tl 2.830 1.634 1.155
Tl 5.661 3.268 2.311
Tl 8.491 4.902 3.466
Br 0.000 0.000 0.000
```



The following is a DFT calculation (PBE-GGA) of crystalline YZnSb at its relaxed geometry.

uncorrected formation energy: -0.43 eV/atom

Geometry as extended XYZ:
```
6
Lattice="4.183 2.498 -2.969 2.998 5.923 -4.235 -4.544 -8.950 14.933" Properties=species:S:1:pos:R:3 pbc="T T T"
Sb 3.853 3.896 -1.014
Sb 4.897 5.448 -3.603
Y 2.803 2.372 1.662
Y 1.404 -1.977 8.653
Zn 1.591 -0.883 5.622
Zn -0.382 -4.643 8.927
```



The following is a DFT calculation (PBE-GGA) of crystalline NaPuBr4 at its relaxed geometry.

uncorrected formation energy: -1.53 eV/atom

Geometry as extended XYZ:
```
12
Lattice="-0.918 -0.340 4.224 2.239 -7.292 -0.100 12.141 5.824 3.107" Properties=species:S:1:pos:R:3 pbc="T T T"
Na 5.611 2.742 3.666
Na 0.000 0.000 0.000
Pu 7.190 -0.734 1.504
Pu 0.661 -3.816 2.062
Br 5.564 -2.427 3.240
Br 1.368 -2.462 4.550
Br 7.897 0.620 3.992
Br 12.094 0.655 2.681
Br 5.098 1.149 1.201
Br 2.752 -5.699 2.366
Br 8.363 -2.956 6.030
Br 10.710 3.892 4.865
```



Ρ (computed, g/cm³): 10.8 7.6 5.3 7.2 8.3 11.4 7.6 5.6 7.5 9.0 6.2 4.3
V (computed, Å³/atom): 12.07 34.18 20.45 21.42 29.87 16.51 26.63 32.40 31.98 32.06 24.57 37.67